Version P
TaHRu3 after structural relaxation, computed with GGA-PBE.

Structure (POSCAR):
```
TaHRu3
1.0
2.780 -3.978 0.000
2.780 3.978 0.000
0.000 0.000 5.556
Ta H Ru
2 2 6
direct
0.241 0.759 0.750
0.759 0.241 0.250
0.488 0.512 0.250
0.512 0.488 0.750
0.243 0.757 0.250
0.246 0.246 0.000
0.246 0.246 0.500
0.754 0.754 0.000
0.754 0.754 0.500
0.757 0.243 0.750
```

SG	Cmcm
magnetization	0.00	Bohr magnetons per cell
density of states at the Fermi level	0.663	states/eV per atom

---

Version Q
TaHRu3 after structural relaxation, computed with GGA-PBE.

Structure (POSCAR):
```
TaHRu3
1.0
3.942 0.000 0.000
0.000 3.942 0.000
0.000 0.000 3.942
Ta H Ru
1 1 3
direct
0.000 0.000 0.000
0.500 0.500 0.500
0.000 0.500 0.500
0.500 0.000 0.500
0.500 0.500 0.000
```

SG	Pm-3m
magnetization	0.00	Bohr magnetons per cell
density of states at the Fermi level	1.103	states/eV per atom

---

Which of them is most stable, and which least? Most stable: version Q; least stable: version P.

---

Version P
TaH2Ru after structural relaxation, computed with GGA-PBE.

Structure (POSCAR):
```
TaH2Ru
1.0
2.968 0.000 0.000
-1.484 2.571 0.000
0.000 0.000 15.088
Ta H Ru
3 6 3
direct
0.000 0.000 0.000
0.333 0.667 0.667
0.667 0.333 0.333
0.000 0.000 0.127
0.000 0.000 0.873
0.333 0.667 0.539
0.333 0.667 0.794
0.667 0.333 0.206
0.667 0.333 0.461
0.000 0.000 0.500
0.333 0.667 0.167
0.667 0.333 0.833
```

SG	R-3m
magnetization	0.00	Bohr magnetons per cell
density of states at the Fermi level	0.521	states/eV per atom

---

Version Q
TaH2Ru after structural relaxation, computed with GGA-PBE.

Structure (POSCAR):
```
TaH2Ru
1.0
2.892 0.000 0.000
0.000 5.149 0.000
0.000 0.000 5.146
Ta H Ru
2 4 2
direct
0.250 0.250 0.126
0.750 0.750 0.874
0.250 0.607 0.107
0.250 0.893 0.107
0.750 0.107 0.893
0.750 0.393 0.893
0.250 0.750 0.439
0.750 0.250 0.561
```

SG	Pmmn
magnetization	0.00	Bohr magnetons per cell
density of states at the Fermi level	0.544	states/eV per atom

---

Which of them is most stable, and which least? Most stable: version P; least stable: version Q.

---

Version P
TaH2Ru after structural relaxation, computed with GGA-PBE.

Structure (POSCAR):
```
TaH2Ru
1.0
2.921 0.000 0.000
-1.460 2.529 0.000
0.000 0.000 15.813
Ta H Ru
3 6 3
direct
0.000 0.000 0.000
0.333 0.667 0.667
0.667 0.333 0.333
0.000 0.000 0.404
0.000 0.000 0.581
0.333 0.667 0.070
0.333 0.667 0.248
0.667 0.333 0.737
0.667 0.333 0.915
0.000 0.000 0.194
0.333 0.667 0.861
0.667 0.333 0.527
```

SG	R3m
magnetization	0.00	Bohr magnetons per cell
density of states at the Fermi level	0.188	states/eV per atom

---

Version Q
TaH2Ru after structural relaxation, computed with GGA-PBE.

Structure (POSCAR):
```
TaH2Ru
1.0
4.193 0.000 0.000
0.000 4.193 0.000
0.000 0.000 8.703
Ta H Ru
4 8 4
direct
0.000 0.000 0.000
0.000 0.500 0.250
0.500 0.000 0.750
0.500 0.500 0.500
0.223 0.250 0.625
0.250 0.723 0.875
0.250 0.777 0.375
0.277 0.250 0.125
0.723 0.750 0.125
0.750 0.223 0.375
0.750 0.277 0.875
0.777 0.750 0.625
0.000 0.000 0.500
0.000 0.500 0.750
0.500 0.000 0.250
0.500 0.500 0.000
```

SG	I-42d
magnetization	0.00	Bohr magnetons per cell
density of states at the Fermi level	0.492	states/eV per atom

---

Which of them is most stable, and which least? Most stable: version Q; least stable: version P.

---

Version P
TaH2Ru after structural relaxation, computed with GGA-PBE.

Structure (POSCAR):
```
TaH2Ru
1.0
5.360 0.000 0.000
0.000 5.360 0.000
0.000 0.000 5.360
Ta H Ru
4 8 4
direct
0.000 0.000 0.000
0.000 0.500 0.500
0.500 0.000 0.500
0.500 0.500 0.000
0.250 0.250 0.250
0.250 0.250 0.750
0.250 0.750 0.250
0.250 0.750 0.750
0.750 0.250 0.250
0.750 0.250 0.750
0.750 0.750 0.250
0.750 0.750 0.750
0.000 0.000 0.500
0.000 0.500 0.000
0.500 0.000 0.000
0.500 0.500 0.500
```

SG	Fm-3m
magnetization	0.00	Bohr magnetons per cell
density of states at the Fermi level	0.872	states/eV per atom

---

Version Q
TaH2Ru after structural relaxation, computed with GGA-PBE.

Structure (POSCAR):
```
TaH2Ru
1.0
4.959 0.000 0.000
0.000 2.907 0.000
0.000 0.000 9.916
Ta H Ru
4 8 4
direct
0.092 0.250 0.143
0.408 0.750 0.643
0.592 0.250 0.357
0.908 0.750 0.857
0.156 0.250 0.748
0.242 0.750 0.006
0.258 0.250 0.506
0.344 0.750 0.248
0.656 0.250 0.752
0.742 0.750 0.494
0.758 0.250 0.994
0.844 0.750 0.252
0.104 0.750 0.394
0.396 0.250 0.894
0.604 0.750 0.106
0.896 0.250 0.606
```

SG	Pnma
magnetization	0.00	Bohr magnetons per cell
density of states at the Fermi level	0.400	states/eV per atom

---

Which of them is most stable, and which least? Most stable: version Q; least stable: version P.

---

Version P
TaH2Ru2 after structural relaxation, computed with GGA-PBE.

Structure (POSCAR):
```
TaH2Ru2
1.0
5.968 0.000 0.000
0.000 5.968 0.000
0.000 0.000 3.043
Ta H Ru
2 4 4
direct
0.000 0.000 0.000
0.500 0.500 0.000
0.230 0.270 0.000
0.270 0.770 0.000
0.730 0.230 0.000
0.770 0.730 0.000
0.152 0.652 0.500
0.348 0.152 0.500
0.652 0.848 0.500
0.848 0.348 0.500
```

SG	P4/mbm
magnetization	0.00	Bohr magnetons per cell
density of states at the Fermi level	0.696	states/eV per atom

---

Version Q
TaH2Ru2 after structural relaxation, computed with GGA-PBE.

Structure (POSCAR):
```
TaH2Ru2
1.0
3.037 0.000 0.000
0.000 3.037 0.000
0.000 0.000 11.390
Ta H Ru
2 4 4
direct
0.000 0.000 0.000
0.500 0.500 0.500
0.000 0.500 0.250
0.000 0.500 0.750
0.500 0.000 0.250
0.500 0.000 0.750
0.000 0.000 0.355
0.000 0.000 0.645
0.500 0.500 0.145
0.500 0.500 0.855
```

SG	I4/mmm
magnetization	0.00	Bohr magnetons per cell
density of states at the Fermi level	0.326	states/eV per atom

---

Which of them is most stable, and which least? Most stable: version Q; least stable: version P.

---

Version P
Ta2TcHRu after structural relaxation, computed with GGA-PBE.

Structure (POSCAR):
```
Ta2TcHRu
1.0
4.389 0.000 0.000
0.000 4.389 0.000
0.000 0.000 3.488
Ta Tc H Ru
2 1 1 1
direct
0.000 0.500 0.000
0.500 0.000 0.000
0.000 0.000 0.500
0.500 0.500 0.000
0.500 0.500 0.500
```

SG	P4/mmm
magnetization	0.00	Bohr magnetons per cell
density of states at the Fermi level	0.645	states/eV per atom

---

Version Q
Ta2TcHRu after structural relaxation, computed with GGA-PBE.

Structure (POSCAR):
```
Ta2TcHRu
1.0
4.352 0.000 0.000
0.000 4.352 0.000
0.000 0.000 3.548
Ta Tc H Ru
2 1 1 1
direct
0.000 0.500 0.000
0.500 0.000 0.000
0.000 0.000 0.500
0.000 0.000 0.000
0.500 0.500 0.500
```

SG	P4/mmm
magnetization	0.00	Bohr magnetons per cell
density of states at the Fermi level	0.693	states/eV per atom

---

Which of them is most stable, and which least? Most stable: version P; least stable: version Q.